Density functional theory data (GGA-PBE) for a geometry-optimized CaY3Pt4 structure.

- DOS at the Fermi energy: 4.22 states/eV/f.u.
- Theoretical density: 10.54 g/cm3
- Total energy: -218.75 eV per cell

abc: 7.0077 7.0149 13.9325
angles: 90.00 90.00 90.00
Last column: nearest neighbours and their distance in Å.
Space group Fmmm (No. 69)
One atom of each set of equivalent atoms:
Ca  0.0000  0.0000  0.0000  8 Pt 3.06
Y  0.0000  0.0000  0.2480  8 Pt 2.98-3.01
Y  0.0000  0.0000  0.5000  8 Pt 3.06
Pt  0.2500  0.2500  0.1290  6 Y 2.98-3.06, 2 Ca 3.06

Density functional theory data (GGA-PBE) for a geometry-optimized CaYPt2 structure.

- DOS at the Fermi energy: 3.92 states/eV/f.u.
- Theoretical density: 9.68 g/cm3
- Total energy: -39.24 eV per cell

abc: 3.0813 5.3575 10.7890
angles: 90.00 90.00 90.00
Last column: nearest neighbours and their distance in Å.
Space group Immm (No. 71)
One atom of each set of equivalent atoms:
Ca  0.0000  0.0000  0.0000  2 Pt 2.72
Y  0.0000  0.0000  0.5000  2 Pt 2.67
Pt  0.0000  0.0000  0.2525  1 Y 2.67, 1 Ca 2.72

Density functional theory data (GGA-PBE) for a geometry-optimized CaY2Pt structure.

- DOS at the Fermi energy: 4.11 states/eV/f.u.
- Theoretical density: 6.82 g/cm3
- Total energy: -89.03 eV per cell
- Polymorph energy (0 for the lowest one): 0.306 eV per atom

abc: 7.3817 7.3817 7.3817
angles: 90.00 90.00 90.00
Last column: nearest neighbours and their distance in Å.
Space group Fm-3m (No. 225)
One atom of each set of equivalent atoms:
Ca  0.0000  0.0000  0.0000  8 Y 3.20
Y  0.2500  0.2500  0.2500  4 Ca 3.20, 4 Pt 3.20
Pt  0.0000  0.0000  0.5000  8 Y 3.20

Density functional theory data (GGA-PBE) for a geometry-optimized Ca2YPt structure.

- DOS at the Fermi energy: 4.07 states/eV/f.u.
- Theoretical density: 5.05 g/cm3
- Total energy: -36.95 eV per cell
- Polymorph energy (0 for the lowest one): 0.102 eV per atom

abc: 12.9119 3.6845 5.5755
angles: 90.00 115.57 90.00
Last column: nearest neighbours and their distance in Å.
Space group Cm (No. 8)
One atom of each set of equivalent atoms:
Ca  0.0000  0.0000  0.0000  2 Pt 2.93
Ca  0.1863  0.0000  0.6862  4 Pt 3.34-3.35, 2 Y 3.52-3.53, 4 Ca 3.53-3.68
Y  0.3715  0.0000  0.3715  2 Pt 2.75
Pt  0.1957  0.5000  0.1946  2 Y 2.75, 2 Ca 2.93

Density functional theory data (GGA-PBE) for a geometry-optimized CaY2Pt structure.

- DOS at the Fermi energy: 4.51 states/eV/f.u.
- Theoretical density: 6.78 g/cm3
- Total energy: -86.89 eV per cell
- Polymorph energy (0 for the lowest one): 0.440 eV per atom

abc: 7.3944 7.3944 7.3944
angles: 90.00 90.00 90.00
Last column: nearest neighbours and their distance in Å.
Space group F-43m (No. 216)
One atom of each set of equivalent atoms:
Ca  0.0000  0.0000  0.0000  4 Pt 3.20, 4 Y 3.20
Y  0.0000  0.0000  0.5000  4 Y 3.20, 4 Pt 3.20
Y  0.2500  0.2500  0.2500  4 Ca 3.20, 4 Y 3.20
Pt  0.2500  0.2500  0.7500  4 Y 3.20, 4 Ca 3.20

Density functional theory data (GGA-PBE) for a geometry-optimized CaYPt2 structure.

- DOS at the Fermi energy: 1.89 states/eV/f.u.
- Theoretical density: 10.21 g/cm3
- Total energy: -48.12 eV per cell

abc: 4.1268 4.1268 9.9130
angles: 90.00 90.00 90.00
Last column: nearest neighbours and their distance in Å.
Space group I-4m2 (No. 119)
One atom of each set of equivalent atoms:
Ca  0.0000  0.0000  0.0000  8 Pt 2.92-3.22, 4 Y 3.22
Y  0.0000  0.5000  0.2500  8 Pt 2.92-3.22, 4 Ca 3.22
Pt  0.0000  0.0000  0.5000  4 Ca 2.92, 4 Pt 3.22, 4 Y 3.22
Pt  0.0000  0.5000  0.7500  4 Y 2.92, 4 Ca 3.22, 4 Pt 3.22

Density functional theory data (GGA-PBE) for a geometry-optimized Ca2YPt structure.

- DOS at the Fermi energy: 3.87 states/eV/f.u.
- Theoretical density: 5.79 g/cm3
- Total energy: -17.83 eV per cell
- Polymorph energy (0 for the lowest one): 0.263 eV per atom

abc: 4.4142 4.4142 5.3563
angles: 90.00 90.00 90.00
Last column: nearest neighbours and their distance in Å.
Space group P4/mmm (No. 123)
One atom of each set of equivalent atoms:
Ca  0.0000  0.5000  0.0000  4 Ca 3.12, 4 Pt 3.47, 4 Y 3.47
Y  0.0000  0.0000  0.5000  4 Pt 3.12, 8 Ca 3.47
Pt  0.5000  0.5000  0.5000  4 Y 3.12, 8 Ca 3.47

Density functional theory data (GGA-PBE) for a geometry-optimized CaY2Pt structure.

- DOS at the Fermi energy: 3.95 states/eV/f.u.
- Theoretical density: 5.09 g/cm3
- Total energy: -69.62 eV per cell
- Polymorph energy (0 for the lowest one): 0.068 eV per atom

abc: 4.1191 4.1191 27.4930
angles: 90.00 90.00 120.00
Last column: nearest neighbours and their distance in Å.
Space group R3m (No. 160, hexagonal axes)
One atom of each set of equivalent atoms:
Ca  0.0000  0.0000  0.0000  6 Y 3.87-3.94, 6 Ca 4.12
Y  0.0000  0.0000  0.5525  3 Pt 2.80
Y  0.0000  0.0000  0.7779  3 Pt 2.80
Pt  0.0000  0.0000  0.1651  6 Y 2.80

Density functional theory data (GGA-PBE) for a geometry-optimized Ca2YPt structure.

- DOS at the Fermi energy: 2.45 states/eV/f.u.
- Theoretical density: 4.76 g/cm3
- Total energy: -53.26 eV per cell
- Polymorph energy (0 for the lowest one): 0.283 eV per atom

abc: 3.8183 3.8183 30.1709
angles: 90.00 90.00 120.00
Last column: nearest neighbours and their distance in Å.
Space group R-3m (No. 166, hexagonal axes)
One atom of each set of equivalent atoms:
Ca  0.0000  0.0000  0.2259  3 Pt 2.84
Y  0.0000  0.0000  0.0000  6 Y 3.82, 6 Ca 3.92
Pt  0.0000  0.0000  0.5000  6 Ca 2.84

Density functional theory data (GGA-PBE) for a geometry-optimized CaY2Pt structure.

- DOS at the Fermi energy: 5.33 states/eV/f.u.
- Theoretical density: 6.60 g/cm3
- Total energy: -43.64 eV per cell
- Polymorph energy (0 for the lowest one): 0.415 eV per atom

abc: 4.5143 4.5143 10.1972
angles: 90.00 90.00 90.00
Last column: nearest neighbours and their distance in Å.
Space group I4/mmm (No. 139)
One atom of each set of equivalent atoms:
Ca  0.0000  0.0000  0.0000  4 Pt 3.19, 8 Y 3.40
Y  0.0000  0.5000  0.2500  4 Y 3.19, 4 Ca 3.40, 4 Pt 3.40
Pt  0.0000  0.0000  0.5000  4 Ca 3.19, 8 Y 3.40

Density functional theory data (GGA-PBE) for a geometry-optimized CaYPt2 structure.

- DOS at the Fermi energy: 1.63 states/eV/f.u.
- Theoretical density: 8.94 g/cm3
- Total energy: -24.01 eV per cell

abc: 4.0778 4.0778 5.8014
angles: 90.00 90.00 90.00
Last column: nearest neighbours and their distance in Å.
Space group P4mm (No. 99)
One atom of each set of equivalent atoms:
Ca  0.0000  0.0000  0.0000  6 Pt 2.89-2.91
Y  0.5000  0.5000  0.5539  6 Pt 2.89-2.92
Pt  0.0000  0.0000  0.4987  2 Ca 2.89-2.91, 4 Y 2.90
Pt  0.5000  0.5000  0.0513  2 Y 2.89-2.92, 4 Ca 2.90

Density functional theory data (GGA-PBE) for a geometry-optimized Ca4YPt structure.

- DOS at the Fermi energy: 6.79 states/eV/f.u.
- Theoretical density: 3.76 g/cm3
- Total energy: -71.22 eV per cell

abc: 9.2213 9.2213 9.2213
angles: 90.00 90.00 90.00
Last column: nearest neighbours and their distance in Å.
Space group F-43m (No. 216)
One atom of each set of equivalent atoms:
Ca  0.1247  0.1247  0.1247  6 Ca 3.25-3.27
Y  0.0000  0.0000  0.5000  12 Ca 3.82, 4 Pt 3.99
Pt  0.2500  0.2500  0.7500  12 Ca 3.82, 4 Y 3.99

Density functional theory data (GGA-PBE) for a geometry-optimized Ca3YPt8 structure.

- DOS at the Fermi energy: 10.95 states/eV/f.u.
- Theoretical density: 12.82 g/cm3
- Total energy: -217.91 eV per cell

abc: 5.4628 5.4628 26.6004
angles: 90.00 90.00 120.00
Last column: nearest neighbours and their distance in Å.
Space group R3m (No. 160, hexagonal axes)
One atom of each set of equivalent atoms:
Ca  0.0000  0.0000  0.0000  12 Pt 3.20-3.22, 4 Ca 3.29-3.32
Ca  0.0000  0.0000  0.1237  12 Pt 3.16-3.21, 1 Ca 3.29, 3 Y 3.37
Ca  0.0000  0.0000  0.6279  12 Pt 3.17-3.24, 3 Ca 3.32, 1 Y 3.35
Y  0.0000  0.0000  0.5019  12 Pt 3.17-3.21, 4 Ca 3.35-3.37
Pt  0.0000  0.0000  0.3133  6 Pt 2.74
Pt  0.0000  0.0000  0.8132  6 Pt 2.70-2.71
Pt  0.0017  0.5009  0.0643  6 Pt 2.70-2.75
Pt  0.1677  0.3354  0.8956  6 Pt 2.71-2.75

Density functional theory data (GGA-PBE) for a geometry-optimized CaY2Pt structure.

- DOS at the Fermi energy: 4.78 states/eV/f.u.
- Theoretical density: 6.69 g/cm3
- Total energy: -44.08 eV per cell
- Polymorph energy (0 for the lowest one): 0.361 eV per atom

abc: 4.4013 4.4013 10.5851
angles: 90.00 90.00 90.00
Last column: nearest neighbours and their distance in Å.
Space group I-4m2 (No. 119)
One atom of each set of equivalent atoms:
Ca  0.0000  0.0000  0.0000  8 Y 3.11-3.44, 4 Pt 3.44
Y  0.0000  0.0000  0.5000  4 Ca 3.11, 4 Pt 3.44, 4 Y 3.44
Y  0.0000  0.5000  0.2500  4 Pt 3.11, 4 Ca 3.44, 4 Y 3.44
Pt  0.0000  0.5000  0.7500  8 Y 3.11-3.44, 4 Ca 3.44